{"formula": "Li2TcAu", "functional": "GGA-PBEsol", "state": "relaxed", "cell": [[-1.313, 2.271, 4.665], [1.313, -2.271, 4.665], [1.313, 2.271, -4.665]], "species": ["Li", "Li", "Tc", "Au"], "frac_coords": [[0.000, 0.000, 0.000], [0.756, 0.256, 0.500], [0.261, 0.761, 0.500], [0.518, 0.518, 0.000]], "de_polymorph_mev_per_atom": 139.6, "dft_energy_ev_per_atom": -4.563, "n_ef_per_ev_cell": 2.692, "magmom_total_mub_per_cell": 0.58}